This record from the Alexandria database describes a geometry-optimized Tm6Mn2Sn structure. The functional is PBE-GGA.

The value obtained for the total energy is -5.6430 eV per atom. The symmetry is Immm. The energy of formation comes out at -4.14 kcal/mol of atoms.

The structure in CIF format:
```
data_Tm6Mn2Sn
_cell_length_a 8.319
_cell_length_b 8.319
_cell_length_c 8.319
_cell_angle_alpha 110.47
_cell_angle_beta 110.33
_cell_angle_gamma 107.62
_symmetry_space_group_name_H-M 'P 1'
_symmetry_Int_Tables_number 1
loop_
_symmetry_equiv_pos_as_xyz
'x,y,z'
loop_
_atom_site_label
_atom_site_type_symbol
_atom_site_fract_x
_atom_site_fract_y
_atom_site_fract_z
Tm1 Tm 0.014 0.234 0.780
Tm2 Tm 0.189 0.285 0.474
Tm3 Tm 0.189 0.715 0.905
Tm4 Tm 0.313 0.019 0.706
Tm5 Tm 0.313 0.607 0.294
Tm6 Tm 0.454 0.234 0.220
Tm7 Tm 0.546 0.766 0.780
Tm8 Tm 0.687 0.393 0.706
Tm9 Tm 0.687 0.981 0.294
Tm10 Tm 0.811 0.285 0.095
Tm11 Tm 0.811 0.715 0.526
Tm12 Tm 0.986 0.766 0.220
Mn1 Mn 0.107 0.607 0.500
Mn2 Mn 0.386 0.000 0.386
Mn3 Mn 0.614 0.000 0.614
Mn4 Mn 0.893 0.393 0.500
Sn1 Sn 0.000 0.000 0.000
Sn2 Sn 0.500 0.500 0.000
```